Here is a relaxed SmDy6Tm2 crystal from the Alexandria database. Energies are from PBE.

Unit cell a=7.311 b=7.311 c=7.629 alpha=61.37 beta=61.37 gamma=60.00
Atoms (fractional coordinates):
Sm1 0.317 0.317 0.050
Dy1 0.781 0.262 0.695
Dy2 0.262 0.781 0.695
Dy3 0.262 0.262 0.695
Dy4 0.047 0.615 0.291
Dy5 0.047 0.047 0.291
Dy6 0.615 0.047 0.291
Tm1 0.755 0.755 0.734
Tm2 0.580 0.580 0.261

**Energy relative to the lowest polymorph listed for this composition**: 0.348 eV per atom
**Electronic total energy**: -0.1551 Ha/atom